K2CrPtO4: optimized geometry, PBE with a Hubbard U.

Properties
The value obtained for the total energy is -349.7 eV for the cell shown.

Structure (CIF):
```
data_K2CrPtO4
_chemical_formula_sum 'K16 Cr8 Pt8 O32'
_cell_length_a 5.019
_cell_length_b 11.821
_cell_length_c 20.079
_cell_angle_alpha 90.00
_cell_angle_beta 90.00
_cell_angle_gamma 90.00
_symmetry_space_group_name_H-M 'F d d d'
_symmetry_Int_Tables_number 70
loop_
_symmetry_equiv_pos_as_xyz
'x,y,z'
'-x,-y,-z'
'-x+1/4,-y+1/4,z'
'x+1/4,y+1/4,-z'
'x,-y+1/4,-z+1/4'
'-x,y+1/4,z+1/4'
'-x+1/4,y,-z+1/4'
'x+1/4,-y,z+1/4'
'x,y+1/2,z+1/2'
'-x,-y+1/2,-z+1/2'
'-x+1/4,-y+3/4,z+1/2'
'x+1/4,y+3/4,-z+1/2'
'x,-y+3/4,-z+3/4'
'-x,y+3/4,z+3/4'
'-x+1/4,y+1/2,-z+3/4'
'x+1/4,-y+1/2,z+3/4'
'x+1/2,y,z+1/2'
'-x+1/2,-y,-z+1/2'
'-x+3/4,-y+1/4,z+1/2'
'x+3/4,y+1/4,-z+1/2'
'x+1/2,-y+1/4,-z+3/4'
'-x+1/2,y+1/4,z+3/4'
'-x+3/4,y,-z+3/4'
'x+3/4,-y,z+3/4'
'x+1/2,y+1/2,z'
'-x+1/2,-y+1/2,-z'
'-x+3/4,-y+3/4,z'
'x+3/4,y+3/4,-z'
'x+1/2,-y+3/4,-z+1/4'
'-x+1/2,y+3/4,z+1/4'
'-x+3/4,y+1/2,-z+1/4'
'x+3/4,-y+1/2,z+1/4'
loop_
_atom_site_label
_atom_site_type_symbol
_atom_site_fract_x
_atom_site_fract_y
_atom_site_fract_z
K1 K 0.125 0.125 0.300
Cr1 Cr 0.125 0.125 0.125
Pt1 Pt 0.125 0.125 0.625
O1 O 0.043 0.283 0.428
```